The following is a PBE calculation of an optimized crystal structure of Rb2BCl, from Alexandria via LeMat-Bulk.

Properties
Uncorrected energy (eV/f.u.): -9.65
N(E_F) (states/eV/f.u.): 2.33
Calculated volume (Å³ per atom): 44.320
ΔE_f (raw) (kJ/mol of atoms): 19.5

Geometry as extended XYZ:
```
8
Lattice="-1.984 5.304 -6.354 5.021 -4.423 -5.260 -2.265 -2.420 -7.013" Properties=species:S:1:pos:R:3 pbc="T T T"
B 1.519 0.440 -5.807
B 2.138 -3.202 -9.040
Rb -1.202 2.220 -6.458
Rb 2.348 -2.769 -5.760
Rb -0.619 -1.433 -9.553
Rb 1.018 -1.097 -15.485
Cl 0.000 0.000 0.000
Cl -1.365 1.662 -9.588
```